# 1
Entry from Alexandria: a PBEsol-optimized structure of Y3Cd (meta-GGA SCAN).

Structure (extended XYZ):
```
8
Lattice="4.184 -5.192 0.000 4.184 5.192 0.000 0.000 0.000 5.111" Properties=species:S:1:pos:R:3 pbc="T T T"
Y 4.184 4.047 3.833
Y 2.447 1.171 3.833
Y 2.447 -1.171 1.278
Y 5.922 1.171 3.833
Y 5.922 -1.171 1.278
Y 4.184 -4.047 1.278
Cd 4.184 1.832 1.278
Cd 4.184 -1.832 3.833
```

## Properties
* formation energy from the elements: -0.19 eV/atom
* symmetry: Cmcm (63)

# 2
Entry from Alexandria: a PBEsol-optimized structure of Y3Cd (meta-GGA SCAN).

Structure (extended XYZ):
```
4
Lattice="3.567 0.000 0.000 0.000 3.567 0.000 0.000 0.000 8.801" Properties=species:S:1:pos:R:3 pbc="T T T"
Y 0.000 0.000 0.000
Y 1.783 1.783 2.438
Y 1.783 1.783 6.363
Cd 0.000 0.000 4.400
```

## Properties
* formation energy from the elements: -0.20 eV/atom
* symmetry: P4/mmm (123)

no.,ΔE to the lowest computed polymorph (eV per atom),magnetic moment (μB per formula unit)
1,0.0390,0.0
2,0.0333,0.0